Entry 1:
Entry from Alexandria via LeMat-Bulk: an optimized crystal structure of Ta2OsBr (GGA-PBE).

Lattice parameters (Å, degrees): 5.441 5.441 5.441 138.57 138.57 60.03
Fractional positions:
Os 0.750 0.250 0.500
Br 0.500 0.500 0.000
Ta 0.000 0.000 0.000
Ta 0.250 0.750 0.500

Values from the calculation:
Theoretical density   15.04 g cm⁻³
Formation energy without anion corrections   837.9 meV/atom
N(E_F)   1.05 states/eV per atom
Offset from the most stable computed form   67.2 kJ per mole of atoms
Space group   I-4m2, No. 119


Entry 2:
Entry from Alexandria via LeMat-Bulk: an optimized crystal structure of FeCo (GGA-PBE).

Lattice parameters (Å, degrees): 5.628 5.628 3.579 90.00 90.00 142.96
Last column: magnetic moment on the atom in μB.
Fractional positions:
Fe 0.337 0.663 0.000  2.61
Fe 0.661 0.339 0.000  2.58
Fe 0.835 0.165 0.500  2.59
Co 0.002 0.998 0.000  1.57
Co 0.163 0.837 0.500  1.62
Co 0.503 0.497 0.500  1.55

Values from the calculation:
Theoretical density   8.37 g cm⁻³
N(E_F)   0.91 states/eV per atom
Energy relative to the elements   0.038 eV per atom
Space group   Amm2, No. 38


Entry 3:
Entry from Alexandria via LeMat-Bulk: an optimized crystal structure of GdLuNiPt (GGA-PBE).

Lattice parameters (Å, degrees): 4.850 4.850 4.850 60.00 60.00 60.00
Last column: magnetic moment on the atom in μB.
Fractional positions:
Gd 0.500 0.500 0.500  -7.00
Ni 0.250 0.250 0.250  -0.03
Lu 0.000 0.000 0.000  -0.03
Pt 0.750 0.750 0.750  -0.01

Values from the calculation:
Theoretical density   12.06 g cm⁻³
N(E_F)   0.78 states/eV per atom
Energy relative to the elements   -0.818 eV per atom
Space group   F-43m, No. 216


Entry 4:
Entry from Alexandria via LeMat-Bulk: an optimized crystal structure of Ce5Bi2SeN (GGA-PBE).

Lattice parameters (Å, degrees): 4.680 4.680 11.461 90.00 90.00 90.00
Last column: magnetic moment on the atom in μB.
Fractional positions:
Ce 0.000 0.500 0.500  0.27
Ce 0.500 0.000 0.500  0.27
Ce 0.000 0.000 0.742  0.87
Ce 0.000 0.000 0.258  0.87
Ce 0.500 0.500 0.000  1.14
Bi 0.500 0.500 0.286  -0.03
Bi 0.500 0.500 0.714  -0.03
Se 0.000 0.000 0.000  -0.03
N 0.000 0.000 0.500  -0.03

Values from the calculation:
Theoretical density   8.01 g cm⁻³
Formation energy without anion corrections   -1024.6 meV/atom
N(E_F)   3.08 states/eV per atom
Space group   P4/mmm, No. 123


Entry 5:
Entry from Alexandria via LeMat-Bulk: an optimized crystal structure of Ti3CdN (GGA-PBE).

Lattice parameters (Å, degrees): 4.455 12.947 5.941 90.00 90.00 90.00
Fractional positions:
N 0.500 0.250 0.590
N 0.000 0.750 0.090
N 0.500 0.750 0.410
N 0.000 0.250 0.910
Ti 0.000 0.864 0.874
Ti 0.500 0.364 0.374
Ti 0.500 0.136 0.374
Ti 0.000 0.364 0.126
Ti 0.000 0.136 0.126
Ti 0.500 0.636 0.626
Ti 0.500 0.864 0.626
Ti 0.000 0.636 0.874
Ti 0.500 0.250 0.921
Ti 0.000 0.750 0.421
Ti 0.500 0.750 0.079
Ti 0.000 0.250 0.579
Cd 0.000 0.000 0.500
Cd 0.500 0.500 0.000
Cd 0.500 0.000 0.000
Cd 0.000 0.500 0.500

Values from the calculation:
Theoretical density   5.23 g cm⁻³
Formation energy without anion corrections   -450.0 meV/atom
N(E_F)   1.07 states/eV per atom
Space group   Imma, No. 74


Entry 6:
Entry from Alexandria via LeMat-Bulk: an optimized crystal structure of Al2AgH (GGA-PBE).

Lattice parameters (Å, degrees): 4.341 4.341 4.341 60.00 60.00 60.00
Fractional positions:
H 0.000 0.000 0.000
Al 0.250 0.250 0.250
Al 0.750 0.750 0.750
Ag 0.500 0.500 0.500

Values from the calculation:
Theoretical density   4.67 g cm⁻³
N(E_F)   0.43 states/eV per atom
Offset from the most stable computed form   11.1 kJ per mole of atoms
Space group   Fm-3m, No. 225


Entry 7:
Entry from Alexandria via LeMat-Bulk: an optimized crystal structure of SrOsI2N (GGA-PBE).

Lattice parameters (Å, degrees): 6.392 6.392 4.418 90.00 90.00 90.00
Last column: magnetic moment on the atom in μB.
Fractional positions:
I 0.000 0.500 0.000  0.14
I 0.500 0.000 0.000  0.14
Sr 0.000 0.000 0.000  0.00
Os 0.500 0.500 0.500  3.67
N 0.000 0.000 0.500  0.00

Values from the calculation:
Theoretical density   5.02 g cm⁻³
Formation energy without anion corrections   1649.7 meV/atom
N(E_F)   2.15 states/eV per atom
Offset from the most stable computed form   176.4 kJ per mole of atoms
Space group   P4/mmm, No. 123


Entry 8:
Entry from Alexandria via LeMat-Bulk: an optimized crystal structure of CsScTc2O8 (GGA-PBE).

Lattice parameters (Å, degrees): 5.868 5.868 8.342 90.00 90.00 120.00
Last column: magnetic moment on the atom in μB.
Fractional positions:
Cs 0.000 0.000 0.000  0.00
Sc 0.000 0.000 0.500  0.12
Tc 0.667 0.333 0.280  0.58
Tc 0.333 0.667 0.720  0.58
O 0.333 0.667 0.930  0.08
O 0.334 0.170 0.351  0.04
O 0.830 0.163 0.351  0.04
O 0.667 0.333 0.070  0.08
O 0.170 0.837 0.649  0.04
O 0.666 0.830 0.649  0.04
O 0.163 0.334 0.649  0.04
O 0.837 0.666 0.351  0.04

Values from the calculation:
Theoretical density   3.35 g cm⁻³
Formation energy without anion corrections   -1914.9 meV/atom
N(E_F)   0.51 states/eV per atom
Space group   P-3, No. 147


Entry 9:
Entry from Alexandria via LeMat-Bulk: an optimized crystal structure of La5Tb2PmSc (GGA-PBE).

Lattice parameters (Å, degrees): 8.446 8.682 8.682 90.00 90.00 90.00
Fractional positions:
La 0.500 0.500 0.500
La 0.500 0.000 0.000
La 0.216 0.210 0.710
La 0.216 0.790 0.290
La 0.216 0.290 0.210
La 0.216 0.710 0.790
La 0.784 0.210 0.710
La 0.784 0.710 0.790
La 0.784 0.790 0.290
La 0.784 0.290 0.210
Tb 0.500 0.621 0.121
Tb 0.500 0.121 0.379
Tb 0.500 0.879 0.621
Tb 0.500 0.379 0.879
Pm 0.000 0.500 0.500
Pm 0.000 0.000 0.000
Sc 0.000 0.000 0.500
Sc 0.000 0.500 0.000

Values from the calculation:
Theoretical density   6.27 g cm⁻³
N(E_F)   1.85 states/eV per atom
Energy relative to the elements   0.294 eV per atom
Space group   P4/mbm, No. 127


Entry 10:
Entry from Alexandria via LeMat-Bulk: an optimized crystal structure of Ce2MgTl2 (GGA-PBE).

Lattice parameters (Å, degrees): 5.149 6.629 8.298 90.00 108.08 90.00
Last column: magnetic moment on the atom in μB.
Fractional positions:
Ce 0.008 0.818 0.017  0.80
Ce 0.816 0.339 0.632  0.77
Ce 0.184 0.839 0.368  0.77
Ce 0.992 0.318 0.983  0.80
Mg 0.391 0.060 0.781  0.00
Mg 0.609 0.560 0.219  0.00
Tl 0.407 0.572 0.815  0.00
Tl 0.803 0.846 0.607  0.01
Tl 0.197 0.346 0.393  0.01
Tl 0.593 0.072 0.185  0.00

Values from the calculation:
Theoretical density   8.80 g cm⁻³
N(E_F)   1.89 states/eV per atom
Energy relative to the elements   -0.147 eV per atom
Offset from the most stable computed form   0.0 kJ per mole of atoms
Space group   Cmc2_1, No. 36


Entry 11:
Entry from Alexandria via LeMat-Bulk: an optimized crystal structure of Dy4CdPd (GGA-PBE).

Lattice parameters (Å, degrees): 9.684 9.684 9.684 60.00 60.00 60.00
Fractional positions:
Dy 0.604 0.604 0.604
Dy 0.604 0.604 0.188
Dy 0.604 0.188 0.604
Dy 0.188 0.604 0.604
Dy 0.060 0.440 0.440
Dy 0.440 0.060 0.060
Dy 0.440 0.060 0.440
Dy 0.060 0.440 0.060
Dy 0.440 0.440 0.060
Dy 0.060 0.060 0.440
Dy 0.184 0.816 0.816
Dy 0.816 0.184 0.184
Dy 0.816 0.184 0.816
Dy 0.184 0.816 0.184
Dy 0.816 0.816 0.184
Dy 0.184 0.184 0.816
Cd 0.832 0.832 0.832
Cd 0.832 0.832 0.503
Cd 0.832 0.503 0.832
Cd 0.503 0.832 0.832
Pd 0.395 0.395 0.395
Pd 0.395 0.395 0.816
Pd 0.395 0.816 0.395
Pd 0.816 0.395 0.395

Values from the calculation:
Theoretical density   8.99 g cm⁻³
N(E_F)   0.93 states/eV per atom
Energy relative to the elements   -0.451 eV per atom
Offset from the most stable computed form   0.0 kJ per mole of atoms
Space group   F-43m, No. 216


Entry 12:
Entry from Alexandria via LeMat-Bulk: an optimized crystal structure of Pu2Al5Ag3 (GGA-PBE).

Lattice parameters (Å, degrees): 6.034 8.790 8.790 75.38 69.93 69.93
Last column: magnetic moment on the atom in μB.
Fractional positions:
Pu 0.137 0.594 0.132  5.33
Pu 0.637 0.132 0.594  5.33
Pu 0.863 0.406 0.868  5.33
Pu 0.363 0.868 0.406  5.33
Al 0.393 0.265 0.949  -0.01
Al 0.893 0.949 0.265  -0.01
Al 0.607 0.735 0.051  -0.01
Al 0.107 0.051 0.735  -0.01
Al 0.471 0.779 0.779  -0.01
Al 0.529 0.221 0.221  -0.01
Al 0.750 0.500 0.500  0.00
Al 0.250 0.500 0.500  0.00
Al 0.029 0.221 0.221  -0.01
Al 0.971 0.779 0.779  -0.01
Ag 0.363 0.527 0.748  0.01
Ag 0.863 0.748 0.527  0.01
Ag 0.637 0.473 0.252  0.01
Ag 0.137 0.252 0.473  0.01
Ag 0.250 0.000 0.000  -0.01
Ag 0.750 0.000 0.000  -0.01

Values from the calculation:
Theoretical density   7.73 g cm⁻³
N(E_F)   2.81 states/eV per atom
Energy relative to the elements   -0.143 eV per atom
Space group   Ibam, No. 72


Entry 13:
Entry from Alexandria via LeMat-Bulk: an optimized crystal structure of Ba2Zn3Pd (GGA-PBE).

Lattice parameters (Å, degrees): 6.523 6.523 9.170 110.59 110.59 90.63
Fractional positions:
Ba 0.250 0.750 0.500
Ba 0.744 0.744 0.000
Ba 0.750 0.250 0.500
Ba 0.256 0.256 0.000
Zn 0.338 0.832 0.170
Zn 0.168 0.662 0.830
Zn 0.662 0.168 0.830
Zn 0.832 0.338 0.170
Zn 0.170 0.170 0.341
Zn 0.830 0.830 0.659
Pd 0.666 0.666 0.331
Pd 0.334 0.334 0.669

Values from the calculation:
Theoretical density   5.68 g cm⁻³
N(E_F)   0.66 states/eV per atom
Energy relative to the elements   -0.346 eV per atom
Offset from the most stable computed form   0.0 kJ per mole of atoms
Space group   Fmmm, No. 69


Entry 14:
Entry from Alexandria via LeMat-Bulk: an optimized crystal structure of SrNd2PaP4 (GGA-PBE).

Lattice parameters (Å, degrees): 4.150 7.163 7.203 70.87 90.00 90.00
Fractional positions:
Sr 0.500 0.500 0.000
Nd 0.000 0.000 0.000
Nd 0.500 0.000 0.500
Pa 0.000 0.500 0.500
P 0.000 0.746 0.729
P 0.000 0.254 0.271
P 0.500 0.740 0.268
P 0.500 0.260 0.732

Values from the calculation:
Theoretical density   6.00 g cm⁻³
N(E_F)   0.41 states/eV per atom
Energy relative to the elements   -1.357 eV per atom
Space group   P2/m, No. 10


Entry 15:
Entry from Alexandria via LeMat-Bulk: an optimized crystal structure of Nd6Y3Cd (GGA-PBE).

Lattice parameters (Å, degrees): 5.161 11.168 11.480 92.23 90.00 90.00
Fractional positions:
Nd 0.250 0.450 0.102
Nd 0.750 0.550 0.898
Nd 0.250 0.154 0.188
Nd 0.750 0.846 0.812
Nd 0.250 0.654 0.702
Nd 0.750 0.346 0.298
Nd 0.250 0.235 0.493
Nd 0.750 0.765 0.507
Nd 0.250 0.863 0.316
Nd 0.750 0.137 0.684
Nd 0.250 0.045 0.893
Nd 0.750 0.955 0.107
Y 0.250 0.551 0.401
Y 0.750 0.449 0.599
Y 0.250 0.347 0.792
Y 0.750 0.653 0.208
Y 0.250 0.752 0.009
Y 0.750 0.248 0.991
Cd 0.250 0.947 0.607
Cd 0.750 0.053 0.393

Values from the calculation:
Theoretical density   6.25 g cm⁻³
N(E_F)   1.46 states/eV per atom
Energy relative to the elements   -0.022 eV per atom
Space group   P2_1/m, No. 11


Entry 16:
Entry from Alexandria via LeMat-Bulk: an optimized crystal structure of Sc3Ga2Pd2 (GGA-PBE).

Lattice parameters (Å, degrees): 5.532 7.310 12.956 90.00 90.00 90.00
Fractional positions:
Sc 0.139 0.592 0.102
Sc 0.861 0.408 0.602
Sc 0.861 0.092 0.398
Sc 0.139 0.908 0.898
Sc 0.861 0.408 0.898
Sc 0.139 0.592 0.398
Sc 0.139 0.908 0.602
Sc 0.861 0.092 0.102
Sc 0.371 0.226 0.250
Sc 0.629 0.774 0.750
Sc 0.629 0.726 0.250
Sc 0.371 0.274 0.750
Ga 0.286 0.250 0.000
Ga 0.714 0.750 0.500
Ga 0.714 0.750 0.000
Ga 0.286 0.250 0.500
Ga 0.888 0.376 0.250
Ga 0.112 0.624 0.750
Ga 0.112 0.876 0.250
Ga 0.888 0.124 0.750
Pd 0.622 0.439 0.093
Pd 0.378 0.561 0.593
Pd 0.378 0.939 0.407
Pd 0.622 0.061 0.907
Pd 0.378 0.561 0.907
Pd 0.622 0.439 0.407
Pd 0.622 0.061 0.593
Pd 0.378 0.939 0.093

Values from the calculation:
Theoretical density   6.18 g cm⁻³
N(E_F)   0.91 states/eV per atom
Energy relative to the elements   -0.765 eV per atom
Space group   Pbcm, No. 57


Entry 17:
Entry from Alexandria via LeMat-Bulk: an optimized crystal structure of Tb4PIrSe2 (GGA-PBE).

Lattice parameters (Å, degrees): 4.040 7.096 7.197 108.58 90.00 90.00
Fractional positions:
Tb 0.500 0.248 0.227
Tb 0.500 0.752 0.773
Tb 0.000 0.261 0.773
Tb 0.000 0.739 0.227
P 0.000 0.000 0.000
Ir 0.500 0.500 0.000
Se 0.500 0.000 0.500
Se 0.000 0.500 0.500

Values from the calculation:
Theoretical density   8.63 g cm⁻³
Formation energy without anion corrections   -1484.0 meV/atom
N(E_F)   0.70 states/eV per atom
Space group   P2/m, No. 10


Entry 18:
Entry from Alexandria via LeMat-Bulk: an optimized crystal structure of NaHfIn (GGA-PBE).

Lattice parameters (Å, degrees): 5.385 5.421 7.060 71.16 108.26 61.33
Last column: magnetic moment on the atom in μB.
Fractional positions:
Na 0.838 0.335 0.003  0.00
Na 0.162 0.665 0.997  0.00
Hf 0.838 0.355 0.500  0.12
Hf 0.162 0.645 0.500  0.12
In 0.500 0.000 0.000  0.00
In 0.500 0.000 0.500  -0.01

Values from the calculation:
Theoretical density   7.43 g cm⁻³
N(E_F)   0.92 states/eV per atom
Energy relative to the elements   0.186 eV per atom
Offset from the most stable computed form   26.8 kJ per mole of atoms
Space group   P-1, No. 2


Entry 19:
Entry from Alexandria via LeMat-Bulk: an optimized crystal structure of CsTl3Rh (GGA-PBE).

Lattice parameters (Å, degrees): 5.289 8.020 8.448 78.99 89.98 90.00
Fractional positions:
Cs 0.747 0.210 0.338
Cs 0.247 0.537 0.999
Tl 0.747 0.710 0.686
Tl 0.248 0.448 0.569
Tl 0.748 0.175 0.818
Tl 0.248 0.981 0.093
Tl 0.247 0.944 0.597
Tl 0.747 0.717 0.306
Rh 0.248 0.162 0.795
Rh 0.247 0.752 0.369

Values from the calculation:
Theoretical density   8.02 g cm⁻³
N(E_F)   0.38 states/eV per atom
Energy relative to the elements   -0.023 eV per atom
Space group   Pm, No. 6


Entry 20:
Entry from Alexandria via LeMat-Bulk: an optimized crystal structure of Y2Tl3SbS6 (GGA-PBE).

Lattice parameters (Å, degrees): 7.012 7.012 7.830 98.58 98.58 120.01
Fractional positions:
Y 0.333 0.667 0.000
Y 0.667 0.333 0.000
Tl 0.167 0.833 0.500
Tl 0.833 0.167 0.500
Tl 0.500 0.500 0.500
Sb 0.000 0.000 0.000
S 0.934 0.600 0.801
S 0.732 0.732 0.199
S 0.066 0.400 0.199
S 0.600 0.934 0.801
S 0.268 0.268 0.801
S 0.400 0.066 0.199

Values from the calculation:
Theoretical density   5.77 g cm⁻³
Formation energy without anion corrections   -1104.9 meV/atom
Space group   C2/m, No. 12


Entry 21:
Entry from Alexandria via LeMat-Bulk: an optimized crystal structure of Se2Br (GGA-PBE).

Lattice parameters (Å, degrees): 7.337 7.337 7.838 71.36 71.36 29.13
Fractional positions:
Br 0.981 0.981 0.987
Br 0.630 0.630 0.291
Se 0.241 0.241 0.396
Se 0.766 0.766 0.804
Se 0.845 0.845 0.473
Se 0.370 0.370 0.882

Values from the calculation:
Theoretical density   4.07 g cm⁻³
Formation energy without anion corrections   -45.7 meV/atom
Offset from the most stable computed form   0.0 kJ per mole of atoms
Space group   C2/m, No. 12